Here is Ho4P2SeS after structural relaxation from the Alexandria database. Energies are from PBE.

abc: 5.622 5.622 6.906
angles: 114.02 114.02 90.00
Fractional coordinates of all 8 atoms:
P 0.250 0.750 0.500
Ho 0.495 0.995 0.989
S 0.750 0.250 0.500
P 0.000 0.000 0.000
Ho 0.005 0.505 0.011
Se 0.500 0.500 0.000
Ho 0.759 0.759 0.518
Ho 0.241 0.241 0.482

Raw formation energy: -1808 meV/atom

---

Here is GaBCl3 after structural relaxation from the Alexandria database. Energies are from PBE.

abc: 4.582 4.582 4.582
angles: 90.00 90.00 90.00
Fractional coordinates of all 5 atoms:
Cl 0.000 0.500 0.000
Ga 0.500 0.500 0.500
Cl 0.500 0.000 0.000
Cl 0.000 0.000 0.500
B 0.000 0.000 0.000

Raw formation energy: 24 meV/atom

---

Here is CeCdGa after structural relaxation from the Alexandria database. Energies are from PBE.

abc: 3.563 4.793 4.793
angles: 120.00 90.00 90.00
Each line ends with the local moment (μB).
Fractional coordinates of all 3 atoms:
Ga 0.166 0.000 0.000  -0.01
Cd 0.167 0.667 0.333  0.01
Ce 0.667 0.333 0.667  0.83

Formation energy: -0.361 eV per atom

---

Here is Cs3In2Br6 after structural relaxation from the Alexandria database. Energies are from PBE.

abc: 5.949 5.949 14.543
angles: 101.80 101.80 90.00
Fractional coordinates of all 11 atoms:
Br 0.085 0.585 0.170
Br 0.915 0.415 0.830
Br 0.585 0.085 0.170
Cs 0.175 0.175 0.349
Br 0.304 0.304 0.609
In 0.594 0.594 0.188
Cs 0.000 0.000 0.000
In 0.406 0.406 0.812
Cs 0.825 0.825 0.651
Br 0.415 0.915 0.830
Br 0.696 0.696 0.391

Raw formation energy: -1301 meV/atom

---

Here is PmZn8Ir4 after structural relaxation from the Alexandria database. Energies are from PBE.

abc: 5.617 6.730 6.730
angles: 79.97 65.34 65.34
Fractional coordinates of all 13 atoms:
Zn 0.727 0.773 0.773
Pm 0.000 0.000 0.000
Ir 0.000 0.500 0.000
Zn 0.661 0.339 0.339
Zn 0.000 0.339 0.661
Zn 0.000 0.661 0.339
Zn 0.273 0.227 0.227
Zn 0.339 0.661 0.661
Ir 0.500 0.000 0.500
Zn 0.500 0.773 0.227
Ir 0.000 0.000 0.500
Zn 0.500 0.227 0.773
Ir 0.500 0.500 0.000

Formation energy: -0.329 eV per atom

---

Here is Rb2PaSnSe5 after structural relaxation from the Alexandria database. Energies are from PBE.

abc: 4.484 10.025 14.916
angles: 90.00 90.00 102.93
Fractional coordinates of all 18 atoms:
Se 0.065 0.130 0.043
Pa 0.789 0.578 0.528
Se 0.309 0.617 0.404
Se 0.500 0.999 0.281
Pa 0.211 0.422 0.028
Se 0.935 0.870 0.543
Se 0.691 0.383 0.904
Se 0.500 0.001 0.781
Rb 0.132 0.263 0.317
Se 0.343 0.686 0.000
Rb 0.868 0.737 0.817
Rb 0.105 0.211 0.671
Se 0.711 0.422 0.143
Sn 0.448 0.896 0.437
Se 0.657 0.314 0.500
Se 0.289 0.578 0.643
Rb 0.895 0.789 0.171
Sn 0.552 0.104 0.937

Raw formation energy: -1057 meV/atom

---

Raw total energy: -6.400; -3.025; -3.653; -2.944; -4.204; -4.707 (eV/atom)
Theoretical density: 7.75; 3.23; 7.55; 3.73; 11.36; 4.65 (g/cm3)